1.
A plane-wave DFT calculation with PBE was carried out for AlTlIrRu2 after structural relaxation.

Calculated values
DOS at the Fermi energy	1.082	states/eV/atom
raw total energy	-0.3905	Ry/atom
space group	P4/mmm (123)

Cell lengths 4.7519, 4.7519, 5.1187 Å; angles 90.00, 90.00, 90.00 degrees
Last column: nearest neighbours and their distance in Å.
Element x y z (fractional)
1 Al 0.0000 0.0000 0.0000  4 Tl 3.36, 8 Ru 3.49
2 Tl 0.5000 0.5000 0.0000  2 Ir 2.56
3 Ir 0.5000 0.5000 0.5000  4 Ru 2.38, 2 Tl 2.56
4 Ru 0.0000 0.5000 0.5000  2 Ir 2.38
5 Ru 0.5000 0.0000 0.5000  2 Ir 2.38

2.
A plane-wave DFT calculation with PBE was carried out for Al2IrS after structural relaxation.

Calculated values
E_form (uncorrected)	-674	meV per atom
DOS at the Fermi energy	0.263	states/eV/atom
raw total energy	-0.4258	Ry/atom
space group	Cm (8)

Cell lengths 4.8826, 4.8826, 9.2309 Å; angles 111.20, 111.20, 38.62 degrees
Last column: nearest neighbours and their distance in Å.
Element x y z (fractional)
1 Al 0.0000 0.0000 0.0000  5 Ir 2.62-2.70, 3 Al 2.79-2.91
2 Al 0.0026 0.0026 0.6813  4 S 2.38-2.44, 1 Ir 2.47
3 Al 0.2140 0.2140 0.4121  2 S 2.28-2.40, 2 Ir 2.47
4 Al 0.7646 0.7646 0.1380  5 Ir 2.54-2.77, 2 Al 2.79
5 Ir 0.2459 0.2459 0.9195  1 S 2.42, 6 Al 2.47-2.70
6 Ir 0.5291 0.5291 0.2324  1 S 2.46, 5 Al 2.47-2.63
7 S 0.3174 0.3174 0.6930  3 Al 2.38-2.40, 1 Ir 2.42
8 S 0.4783 0.4783 0.4750  3 Al 2.28-2.44, 1 Ir 2.46

3.
A plane-wave DFT calculation with PBE was carried out for Al2IrS after structural relaxation.

Calculated values
E_form (uncorrected)	-676	meV per atom
DOS at the Fermi energy	0.075	states/eV/atom
raw total energy	-0.4258	Ry/atom
space group	C2/m (12)

Cell lengths 4.9540, 4.9540, 8.3890 Å; angles 97.62, 97.62, 36.78 degrees
Last column: nearest neighbours and their distance in Å.
Element x y z (fractional)
1 Al 0.1434 0.1434 0.1307  3 S 2.29-2.48, 2 Ir 2.55
2 Al 0.1558 0.1558 0.5788  5 Ir 2.59-2.74, 2 Al 2.83
3 Al 0.8442 0.8442 0.4212  5 Ir 2.59-2.74, 2 Al 2.83
4 Al 0.8566 0.8566 0.8693  3 S 2.29-2.48, 2 Ir 2.55
5 Ir 0.4366 0.4366 0.6594  1 S 2.45, 5 Al 2.55-2.63
6 Ir 0.5634 0.5634 0.3406  1 S 2.45, 5 Al 2.55-2.63
7 S 0.3816 0.3816 0.1014  3 Al 2.29-2.48, 1 Ir 2.45
8 S 0.6184 0.6184 0.8986  3 Al 2.29-2.48, 1 Ir 2.45

4.
A plane-wave DFT calculation with PBE was carried out for AlIr2S after structural relaxation.

Calculated values
E_form (uncorrected)	125	meV per atom
DOS at the Fermi energy	1.232	states/eV/atom
raw total energy	-0.4611	Ry/atom
space group	Fm-3m (225)
energy relative to the lowest polymorph listed for this composition	0.0598	eV/atom

Cell lengths 4.3231, 4.3231, 4.3231 Å; angles 60.00, 60.00, 60.00 degrees
Last column: nearest neighbours and their distance in Å.
Element x y z (fractional)
1 Al 0.0000 0.0000 0.0000  8 Ir 2.65
2 Ir 0.2500 0.2500 0.2500  4 S 2.65, 4 Al 2.65
3 Ir 0.7500 0.7500 0.7500  4 S 2.65, 4 Al 2.65
4 S 0.5000 0.5000 0.5000  8 Ir 2.65

5.
A plane-wave DFT calculation with PBE was carried out for Al2IrS after structural relaxation.

Calculated values
E_form (uncorrected)	-648	meV per atom
DOS at the Fermi energy	0.191	states/eV/atom
raw total energy	-0.4238	Ry/atom
space group	P1 (1)

Cell lengths 4.1793, 5.7086, 6.6570 Å; angles 67.29, 82.65, 89.87 degrees
Last column: nearest neighbours and their distance in Å.
Element x y z (fractional)
1 Al 0.0000 0.0000 0.0000  2 S 2.28-2.30, 2 Ir 2.44-2.54
2 Al 0.0073 0.4840 0.0006  2 S 2.30-2.35, 2 Ir 2.44-2.54
3 Al 0.4106 0.3175 0.4128  1 S 2.49, 4 Ir 2.51-2.64
4 Al 0.4203 0.8323 0.3586  4 Ir 2.49-2.60
5 Ir 0.9097 0.0849 0.3504  6 Al 2.49-2.64, 1 S 2.51
6 Ir 0.9433 0.5981 0.3201  6 Al 2.44-2.61
7 S 0.3680 0.3288 0.7851  3 Al 2.30-2.49
8 S 0.8194 0.8511 0.7610  2 Al 2.28-2.30, 1 Ir 2.51

6.
A plane-wave DFT calculation with PBE was carried out for Al2IrS after structural relaxation.

Calculated values
E_form (uncorrected)	-727	meV per atom
DOS at the Fermi energy	0.182	states/eV/atom
raw total energy	-0.4296	Ry/atom
space group	Cmc2_1 (36)

Cell lengths 6.3677, 6.3677, 5.7147 Å; angles 90.00, 90.00, 143.86 degrees
Last column: nearest neighbours and their distance in Å.
Element x y z (fractional)
1 Al 0.0346 0.9654 0.5000  4 Ir 2.49-2.54
2 Al 0.3431 0.6569 0.3469  3 S 2.40, 2 Ir 2.43-2.60
3 Al 0.6569 0.3431 0.8469  3 S 2.40, 2 Ir 2.43-2.60
4 Al 0.9654 0.0346 0.0000  4 Ir 2.49-2.54
5 Ir 0.4655 0.5345 0.7213  6 Al 2.43-2.60, 1 S 2.59
6 Ir 0.5345 0.4655 0.2213  6 Al 2.43-2.60, 1 S 2.59
7 S 0.2518 0.7482 0.7187  3 Al 2.40, 1 Ir 2.59
8 S 0.7482 0.2518 0.2187  3 Al 2.40, 1 Ir 2.59

Which of these has the lowest raw total energy?
AlIr2S